# Ca2ZnIn2

Crystalline Ca2ZnIn2 at its relaxed geometry (GGA-PBE, Alexandria).

Cell: 3.678 4.724 7.924 Å, 107.34 90.00 90.00°
Fractional positions:
In: 0.500 0.513 0.026
Ca: 0.000 0.926 0.853
Zn: 0.500 0.108 0.217
Ca: 0.000 0.691 0.381
In: 0.500 0.304 0.607

Properties
Fermi-level density of states: 0.545 states/eV per atom
VASP energy: -2.52 eV/atom
DFT formation energy: -0.364 eV per atom